The following is a GGA-PBE calculation of an optimized crystal structure of LaCoAg, from Alexandria via LeMat-Bulk.

a b c (Å): 3.922 3.951 8.695
angles (deg): 103.13 90.00 90.00
Fractional positions:
La 0.750 0.101 0.201
La 0.250 0.899 0.799
Ag 0.750 0.293 0.586
Ag 0.250 0.707 0.414
Co 0.250 0.534 0.067
Co 0.750 0.466 0.933

Properties
M_tot: 1.22 μB/cell
Energy of formation from the pure elements: -0.152 eV per atom